[1]
DFT (PBE) results for a relaxed structure of Pr6CdHg. Values from VASP.

Energy relative to the elements: -0.112 eV/atom
Polymorph energy (0 for the lowest one): 80 meV per atom
Volume: 259.1 Å³ per cell
Uncorrected energy: -3.85 eV/atom

Structure (Quantum ESPRESSO input):
```
&SYSTEM
  ibrav = 0, nat = 8, ntyp = 3
/
ATOMIC_SPECIES
Pr 140.91 Pr.upf
Cd 112.41 Cd.upf
Hg 200.59 Hg.upf
ATOMIC_POSITIONS crystal
Pr 0.026 0.253 0.046
Pr 0.248 0.956 0.470
Pr 0.456 0.471 0.747
Pr 0.544 0.529 0.253
Pr 0.752 0.044 0.530
Pr 0.974 0.747 0.954
Cd 0.500 0.000 0.000
Hg 0.000 0.500 0.500
CELL_PARAMETERS angstrom
6.374 0.000 0.000
-0.298 6.375 0.000
-0.280 -0.270 6.378
```

[2]
DFT (PBE) results for a relaxed structure of Pr8CdHg2. Values from VASP.

Energy relative to the elements: -0.191 eV/atom
Polymorph energy (0 for the lowest one): 23 meV per atom
Volume: 356.6 Å³ per cell
Uncorrected energy: -3.80 eV/atom

Structure (Quantum ESPRESSO input):
```
&SYSTEM
  ibrav = 0, nat = 11, ntyp = 3
/
ATOMIC_SPECIES
Pr 140.91 Pr.upf
Cd 112.41 Cd.upf
Hg 200.59 Hg.upf
ATOMIC_POSITIONS crystal
Pr 0.036 0.036 0.259
Pr 0.185 0.185 0.779
Pr 0.327 0.327 0.542
Pr 0.411 0.411 0.044
Pr 0.589 0.589 0.956
Pr 0.673 0.673 0.458
Pr 0.815 0.815 0.221
Pr 0.964 0.964 0.741
Cd 0.500 0.500 0.500
Hg 0.191 0.191 0.170
Hg 0.809 0.809 0.830
CELL_PARAMETERS angstrom
9.098 -2.614 0.000
9.098 2.614 0.000
-2.999 0.000 7.499
```

Copy entry 1 word for word.
DFT (PBE) results for a relaxed structure of Pr6CdHg. Values from VASP.

Energy relative to the elements: -0.112 eV/atom
Polymorph energy (0 for the lowest one): 80 meV per atom
Volume: 259.1 Å³ per cell
Uncorrected energy: -3.85 eV/atom

Structure (Quantum ESPRESSO input):
```
&SYSTEM
  ibrav = 0, nat = 8, ntyp = 3
/
ATOMIC_SPECIES
Pr 140.91 Pr.upf
Cd 112.41 Cd.upf
Hg 200.59 Hg.upf
ATOMIC_POSITIONS crystal
Pr 0.026 0.253 0.046
Pr 0.248 0.956 0.470
Pr 0.456 0.471 0.747
Pr 0.544 0.529 0.253
Pr 0.752 0.044 0.530
Pr 0.974 0.747 0.954
Cd 0.500 0.000 0.000
Hg 0.000 0.500 0.500
CELL_PARAMETERS angstrom
6.374 0.000 0.000
-0.298 6.375 0.000
-0.280 -0.270 6.378
```

- Look up the energy relative to the elements of the first one.
  -0.112 eV/atom